[1]
Density functional theory data (GGA+U) for Cs3U2CoO9 after structural relaxation.

```
Cs3U2CoO9
1.0
-3.379 -1.448 4.868
5.155 -3.051 -1.152
3.816 4.897 4.106
U O Co Cs
2 9 1 3
direct
0.667 0.333 0.822
0.333 0.667 0.178
0.829 0.659 0.669
0.341 0.171 0.669
0.171 0.829 0.331
0.500 0.000 0.000
0.500 0.500 0.000
0.171 0.341 0.331
0.000 0.500 0.000
0.829 0.171 0.669
0.659 0.829 0.331
0.000 0.000 0.500
0.000 0.000 0.000
0.667 0.333 0.337
0.333 0.667 0.663
```

Summary:
SG: P-3m1

***

[2]
Density functional theory data (GGA+U) for CsU2CoO8 after structural relaxation.

```
CsU2CoO8
1.0
-3.168 2.225 2.271
-2.477 -3.404 0.406
3.753 -4.100 9.988
O Co U Cs
8 1 2 1
direct
0.682 0.746 0.022
0.900 0.204 0.843
0.429 0.375 0.636
0.318 0.254 0.978
0.394 0.799 0.794
0.606 0.201 0.206
0.100 0.796 0.157
0.571 0.625 0.364
0.000 0.000 0.000
0.599 0.704 0.196
0.401 0.296 0.804
0.000 0.000 0.500
```

Summary:
SG: P-1

***

[3]
Density functional theory data (GGA+U) for Cs2U3CoO12 after structural relaxation.

```
Cs2U3CoO12
1.0
7.409 -0.250 -0.178
3.441 6.566 -0.178
3.441 2.003 6.256
U O Cs Co
3 12 2 1
direct
0.000 0.000 0.500
0.000 0.500 0.000
0.500 0.000 0.000
0.946 0.289 0.946
0.711 0.054 0.054
0.675 0.675 0.055
0.325 0.325 0.945
0.946 0.946 0.289
0.945 0.325 0.325
0.054 0.711 0.054
0.675 0.055 0.675
0.054 0.054 0.711
0.055 0.675 0.675
0.325 0.945 0.325
0.289 0.946 0.946
0.628 0.628 0.628
0.372 0.372 0.372
0.000 0.000 0.000
```

Summary:
SG: R-3m

***

[4]
Density functional theory data (GGA+U) for Cs2YCoO4 after structural relaxation.

```
Cs2YCoO4
1.0
5.685 0.000 0.000
2.843 6.483 0.000
2.843 0.000 11.704
O Cs Co Y
8 4 2 2
direct
0.422 0.674 0.425
0.905 0.674 0.575
0.845 0.826 0.925
0.230 0.174 0.925
0.154 0.326 0.425
0.520 0.326 0.575
0.596 0.174 0.075
0.328 0.826 0.075
0.933 0.500 0.134
0.817 0.000 0.366
0.183 0.000 0.634
0.567 0.500 0.866
0.250 0.500 0.500
0.500 0.000 0.000
0.000 0.000 0.000
0.750 0.500 0.500
```

Summary:
SG: Fddd

***

Asked for E across the records above, the calculation gives -7.218, -8.074, -8.091, -5.811 eV/atom in order.